# 1
Below is a geometry-optimized Nd2TlH structure, with properties calculated at the GGA-PBE level.

## Properties
offset from the most stable computed form	126	meV per atom
V	97	Å³/f.u.

abc: 3.7285 3.7285 24.2604
angles: 90.00 90.00 120.00
Space group R-3m (No. 166, hexagonal axes)
Inequivalent atoms, fractional coordinates:
Nd1 0.0000 0.0000 0.2258 (multiplicity 6)
Tl1 0.0000 0.0000 0.0000 (multiplicity 3)
H1 0.0000 0.0000 0.5000 (multiplicity 3)

***

# 2
Below is a geometry-optimized PmNpP structure, with properties calculated at the GGA-PBE level.

## Properties
offset from the most stable computed form	0	meV per atom
ΔH_f (0 K)	-42.0	kJ per mole of atoms
V	82	Å³/f.u.

abc: 3.7934 3.7934 6.5604
angles: 90.00 90.00 120.00
Space group P3m1 (No. 156)
Inequivalent atoms, fractional coordinates:
Pm1 0.0000 0.0000 0.0000 (multiplicity 1)
Np1 0.6667 0.3333 0.4718 (multiplicity 1)
P1 0.3333 0.6667 0.7258 (multiplicity 1)

***

# 3
Below is a geometry-optimized Mn2TlTc structure, with properties calculated at the GGA-PBE level.

## Properties
ΔH_f (0 K)	50.6	kJ per mole of atoms
V	63	Å³/f.u.

abc: 5.655 7.448 2.982
angles: 90.00 90.00 90.00
Space group Cmmm (No. 65)
Inequivalent atoms, fractional coordinates:
Mn1 0.250 0.250 0.000 (multiplicity 4)
Tl1 0.000 0.000 0.500 (multiplicity 2)
Tc1 0.000 0.500 0.500 (multiplicity 2)

***

# 4
Below is a geometry-optimized Tb2Pm2Hg7 structure, with properties calculated at the GGA-PBE level.

## Properties
ΔH_f (0 K)	-9.3	kJ per mole of atoms
V	340	Å³/f.u.

abc: 8.568 10.698 7.419
angles: 90.00 90.00 90.00
Space group Cmmm (No. 65)
Inequivalent atoms, fractional coordinates:
Tb1 0.198 0.000 0.000 (multiplicity 4)
Pm1 0.000 0.297 0.500 (multiplicity 4)
Hg1 0.000 0.000 0.500 (multiplicity 2)
Hg2 0.000 0.500 0.208 (multiplicity 4)
Hg3 0.250 0.250 0.204 (multiplicity 8)

***

# 5
Below is a geometry-optimized BeCrB2 structure, with properties calculated at the GGA-PBE level.

## Properties
ΔH_f (0 K)	-2.6	kJ per mole of atoms
V	30	Å³/f.u.

abc: 3.1278 3.1278 10.6083
angles: 90.00 90.00 120.00
Space group R-3m (No. 166, hexagonal axes)
Inequivalent atoms, fractional coordinates:
Be1 0.0000 0.0000 0.0000 (multiplicity 3)
Cr1 0.0000 0.0000 0.5000 (multiplicity 3)
B1 0.0000 0.0000 0.2937 (multiplicity 6)

***

# 6
Below is a geometry-optimized Sc4Os structure, with properties calculated at the GGA-PBE level.

## Properties
offset from the most stable computed form	209	meV per atom
ΔH_f (0 K)	4.2	kJ per mole of atoms
V	128	Å³/f.u.

abc: 5.045 5.045 5.045
angles: 90.00 90.00 90.00
Space group Pm-3m (No. 221)
Inequivalent atoms, fractional coordinates:
Sc1 0.000 0.000 0.000 (multiplicity 1)
Sc2 0.000 0.500 0.500 (multiplicity 3)
Os1 0.500 0.500 0.500 (multiplicity 1)

***

# 7
Below is a geometry-optimized ScPa2Ga4 structure, with properties calculated at the GGA-PBE level.

## Properties
ΔH_f (0 K)	58.9	kJ per mole of atoms
V	170	Å³/f.u.

abc: 4.822 4.822 14.611
angles: 90.00 90.00 90.00
Space group I4/mmm (No. 139)
Inequivalent atoms, fractional coordinates:
Sc1 0.000 0.000 0.000 (multiplicity 2)
Pa1 0.000 0.000 0.178 (multiplicity 4)
Ga1 0.000 0.000 0.378 (multiplicity 4)
Ga2 0.000 0.500 0.000 (multiplicity 4)

***

# 8
Below is a geometry-optimized AlTl2FeN structure, with properties calculated at the GGA-PBE level.

## Properties
V	95	Å³/f.u.
ΔE_f (raw)	778	meV/atom

abc: 5.274 5.274 3.428
angles: 90.00 90.00 90.00
Space group P4/mmm (No. 123)
Inequivalent atoms, fractional coordinates:
Al1 0.000 0.000 0.000 (multiplicity 1)
Tl1 0.000 0.500 0.500 (multiplicity 2)
Fe1 0.500 0.500 0.000 (multiplicity 1)
N1 0.000 0.000 0.500 (multiplicity 1)

***

# 9
Below is a geometry-optimized Na3CuTe2Se6 structure, with properties calculated at the GGA-PBE level.

## Properties
V	299	Å³/f.u.
ΔE_f (raw)	-424	meV/atom

abc: 7.046 12.090 7.406
angles: 90.00 108.77 90.00
Space group C2/m (No. 12)
Inequivalent atoms, fractional coordinates:
Na1 0.000 0.000 0.000 (multiplicity 2)
Na2 0.000 0.321 0.000 (multiplicity 4)
Cu1 0.000 0.500 0.500 (multiplicity 2)
Te1 0.000 0.165 0.500 (multiplicity 4)
Se1 0.229 0.342 0.713 (multiplicity 8)
Se2 0.246 0.000 0.730 (multiplicity 4)

***

# 10
Below is a geometry-optimized Pd7Pb2Au2 structure, with properties calculated at the GGA-PBE level.

## Properties
ΔH_f (0 K)	17.1	kJ per mole of atoms
V	229	Å³/f.u.

abc: 7.906 7.946 7.290
angles: 90.00 90.00 90.00
Space group Cmmm (No. 65)
Inequivalent atoms, fractional coordinates:
Pd1 0.000 0.000 0.000 (multiplicity 2)
Pd2 0.000 0.500 0.318 (multiplicity 4)
Pd3 0.250 0.250 0.240 (multiplicity 8)
Pb1 0.000 0.191 0.500 (multiplicity 4)
Au1 0.171 0.500 0.000 (multiplicity 4)

***

# 11
Below is a geometry-optimized Dy4CdTe3 structure, with properties calculated at the GGA-PBE level.

## Properties
V	234	Å³/f.u.
ΔE_f (raw)	-1020	meV/atom

abc: 8.973 12.332 4.227
angles: 90.00 90.00 90.00
Space group Cmmm (No. 65)
Inequivalent atoms, fractional coordinates:
Dy1 0.000 0.244 0.000 (multiplicity 4)
Dy2 0.242 0.000 0.500 (multiplicity 4)
Cd1 0.000 0.000 0.000 (multiplicity 2)
Te1 0.000 0.500 0.000 (multiplicity 2)
Te2 0.250 0.250 0.500 (multiplicity 4)

***

# 12
Below is a geometry-optimized Cs2Ga2Ge structure, with properties calculated at the GGA-PBE level.

## Properties
offset from the most stable computed form	0	meV per atom
ΔH_f (0 K)	-7.3	kJ per mole of atoms
V	195	Å³/f.u.

abc: 12.712 7.420 8.393
angles: 90.00 99.59 90.00
Space group C2/c (No. 15)
Inequivalent atoms, fractional coordinates:
Cs1 0.166 0.094 0.170 (multiplicity 8)
Ga1 0.090 0.374 0.502 (multiplicity 8)
Ge1 0.000 0.438 0.750 (multiplicity 4)

***

# 13
Below is a geometry-optimized Rb3AgI2O9 structure, with properties calculated at the GGA-PBE level.

## Properties
V	234	Å³/f.u.
ΔE_f (raw)	-664	meV/atom

abc: 6.0023 6.0023 7.5108
angles: 90.00 90.00 120.00
Space group P-3m1 (No. 164)
Inequivalent atoms, fractional coordinates:
Rb1 0.0000 0.0000 0.0000 (multiplicity 1)
Rb2 0.3333 0.6667 0.6608 (multiplicity 2)
Ag1 0.0000 0.0000 0.5000 (multiplicity 1)
I1 0.3333 0.6667 0.1708 (multiplicity 2)
O1 0.0000 0.5000 0.0000 (multiplicity 3)
O2 0.1802 0.3605 0.3000 (multiplicity 6)

***

# 14
Below is a geometry-optimized TbDy2Hg4 structure, with properties calculated at the GGA-PBE level.

## Properties
offset from the most stable computed form	0	meV per atom
ΔH_f (0 K)	-32.5	kJ per mole of atoms
V	195	Å³/f.u.

abc: 5.0959 5.0959 26.0616
angles: 90.00 90.00 120.00
Space group R-3m (No. 166, hexagonal axes)
Inequivalent atoms, fractional coordinates:
Tb1 0.0000 0.0000 0.0000 (multiplicity 3)
Dy1 0.0000 0.0000 0.2442 (multiplicity 6)
Hg1 0.0000 0.0000 0.1265 (multiplicity 6)
Hg2 0.0000 0.0000 0.3760 (multiplicity 6)

***

# 15
Below is a geometry-optimized Cu2SiF2 structure, with properties calculated at the GGA-PBE level.

## Properties
offset from the most stable computed form	61	meV per atom
V	59	Å³/f.u.
ΔE_f (raw)	-427	meV/atom

abc: 6.749 6.749 2.602
angles: 90.00 90.00 90.00
Space group P4/mbm (No. 127)
Inequivalent atoms, fractional coordinates:
Cu1 0.168 0.332 0.000 (multiplicity 4)
Si1 0.000 0.000 0.500 (multiplicity 2)
F1 0.129 0.629 0.500 (multiplicity 4)

***

# 16
Below is a geometry-optimized Sc2ZnNi structure, with properties calculated at the GGA-PBE level.

## Properties
ΔH_f (0 K)	-28.9	kJ per mole of atoms
V	71	Å³/f.u.

abc: 3.134 4.609 9.783
angles: 90.00 90.00 90.00
Space group Imm2 (No. 44)
Inequivalent atoms, fractional coordinates:
Sc1 0.000 0.000 0.000 (multiplicity 2)
Sc2 0.000 0.500 0.205 (multiplicity 2)
Zn1 0.000 0.000 0.423 (multiplicity 2)
Ni1 0.000 0.500 0.722 (multiplicity 2)

***

# 17
Below is a geometry-optimized Dy14ErTh structure, with properties calculated at the GGA-PBE level.

## Properties
ΔH_f (0 K)	1.7	kJ per mole of atoms
V	503	Å³/f.u.

abc: 7.085 7.085 10.014
angles: 90.00 90.00 90.00
Space group P4/mmm (No. 123)
Inequivalent atoms, fractional coordinates:
Dy1 0.000 0.000 0.000 (multiplicity 1)
Dy2 0.000 0.500 0.000 (multiplicity 2)
Dy3 0.000 0.500 0.500 (multiplicity 2)
Dy4 0.248 0.248 0.252 (multiplicity 8)
Dy5 0.500 0.500 0.000 (multiplicity 1)
Er1 0.500 0.500 0.500 (multiplicity 1)
Th1 0.000 0.000 0.500 (multiplicity 1)

***

# 18
Below is a geometry-optimized NbI2BrN structure, with properties calculated at the GGA-PBE level.

## Properties
offset from the most stable computed form	0	meV per atom
V	131	Å³/f.u.
ΔE_f (raw)	134	meV/atom

abc: 5.758 5.758 3.942
angles: 90.00 90.00 90.00
Space group P4/mmm (No. 123)
Inequivalent atoms, fractional coordinates:
Nb1 0.000 0.000 0.000 (multiplicity 1)
I1 0.000 0.500 0.000 (multiplicity 2)
Br1 0.500 0.500 0.500 (multiplicity 1)
N1 0.000 0.000 0.500 (multiplicity 1)

***

# 19
Below is a geometry-optimized SrRe3S structure, with properties calculated at the GGA-PBE level.

## Properties
offset from the most stable computed form	0	meV per atom
V	93	Å³/f.u.
ΔE_f (raw)	952	meV/atom

abc: 4.533 4.533 4.533
angles: 90.00 90.00 90.00
Space group Pm-3m (No. 221)
Inequivalent atoms, fractional coordinates:
Sr1 0.000 0.000 0.000 (multiplicity 1)
Re1 0.000 0.500 0.500 (multiplicity 3)
S1 0.500 0.500 0.500 (multiplicity 1)

***

# 20
Below is a geometry-optimized Ho3ErMg3 structure, with properties calculated at the GGA-PBE level.

## Properties
ΔH_f (0 K)	8.7	kJ per mole of atoms
V	203	Å³/f.u.

abc: 10.628 11.127 6.877
angles: 90.00 90.06 90.00
Space group C2/m (No. 12)
Inequivalent atoms, fractional coordinates:
Ho1 0.000 0.000 0.246 (multiplicity 4)
Ho2 0.250 0.250 0.252 (multiplicity 8)
Er1 0.189 0.500 0.999 (multiplicity 4)
Mg1 0.000 0.256 0.000 (multiplicity 4)
Mg2 0.000 0.325 0.500 (multiplicity 4)
Mg3 0.228 0.500 0.500 (multiplicity 4)